1.
## ScOs2Se (meta-GGA SCAN)

Data for a PBEsol-optimized structure of ScOs2Se. Values from VASP.

Structure (Quantum ESPRESSO input):
```
&SYSTEM
  ibrav = 0, nat = 4, ntyp = 3
/
ATOMIC_SPECIES
Os 190.23 Os.upf
Se 78.96 Se.upf
Sc 44.96 Sc.upf
ATOMIC_POSITIONS crystal
Os 0.000 0.000 0.746
Os 0.000 0.000 0.254
Se 0.500 0.500 0.000
Sc 0.500 0.500 0.500
CELL_PARAMETERS angstrom
-1.665 -2.053 -0.960
0.236 0.177 2.797
-6.942 5.520 0.236
```

Calculated values
The formation energy without anion corrections comes out at 0.5033 eV/atom. The value obtained for the total energy is -44.02 eV/atom. Its density of states at the Fermi level is 0.750 states/eV per atom. As for the volume: 63.20 Å³/cell. The symmetry is Cmmm, No. 65. The magnetization is 0.00 μB/f.u.


2.
## ScOsSe2 (meta-GGA SCAN)

Data for a PBEsol-optimized structure of ScOsSe2. Values from VASP.

Structure (Quantum ESPRESSO input):
```
&SYSTEM
  ibrav = 0, nat = 4, ntyp = 3
/
ATOMIC_SPECIES
Sc 44.96 Sc.upf
Se 78.96 Se.upf
Os 190.23 Os.upf
ATOMIC_POSITIONS crystal
Sc 0.000 0.000 0.000
Se 0.750 0.750 0.750
Os 0.500 0.500 0.500
Se 0.250 0.250 0.250
CELL_PARAMETERS angstrom
-3.283 2.948 -0.993
-4.059 -1.495 -1.318
-3.567 0.422 2.748
```

Calculated values
The formation energy without anion corrections comes out at -0.1749 eV/atom. The value obtained for the total energy is -31.74 eV/atom. Its density of states at the Fermi level is 0.713 states/eV per atom. As for the volume: 65.40 Å³/cell. The symmetry is Fm-3m, No. 225. The magnetization is 0.00 μB/f.u. The value obtained for the polymorph energy (0 for the lowest one) is 165 meV/atom.


3.
## ScOsSe2 (meta-GGA SCAN)

Data for a PBEsol-optimized structure of ScOsSe2. Values from VASP.

Structure (Quantum ESPRESSO input):
```
&SYSTEM
  ibrav = 0, nat = 4, ntyp = 3
/
ATOMIC_SPECIES
Os 190.23 Os.upf
Sc 44.96 Sc.upf
Se 78.96 Se.upf
ATOMIC_POSITIONS crystal
Os 0.500 0.500 0.500
Sc 0.500 0.000 0.000
Se 0.000 0.718 0.282
Se 0.000 0.282 0.718
CELL_PARAMETERS angstrom
-1.642 -2.986 1.953
-0.849 -2.017 -3.798
3.976 -1.659 0.807
```

Calculated values
The formation energy without anion corrections comes out at -0.3394 eV/atom. The value obtained for the total energy is -31.91 eV/atom. Its density of states at the Fermi level is 0.353 states/eV per atom. As for the volume: 74.48 Å³/cell. The symmetry is Cmmm, No. 65. The magnetization is 0.00 μB/f.u. The value obtained for the polymorph energy (0 for the lowest one) is 0 meV/atom.